Material: Pa2MnF11
Method: DFT, GGA+U
State: relaxed

a = 8.644 Å, b = 8.612 Å, c = 8.612 Å
α = 72.64°, β = 59.88°, γ = 59.88°
Element x y z (fractional)
Pa 0.641 0.690 0.310
Pa 0.359 0.310 0.690
Pa 0.859 0.190 0.810
Pa 0.141 0.810 0.190
Mn 0.750 0.750 0.750
Mn 0.250 0.250 0.250
F 0.613 0.728 0.557
F 0.387 0.272 0.443
F 0.101 0.557 0.728
F 0.887 0.943 0.772
F 0.899 0.443 0.272
F 0.113 0.057 0.228
F 0.399 0.772 0.943
F 0.601 0.228 0.057
F 0.500 0.500 0.500
F 0.000 0.000 0.000
F 0.866 0.790 0.210
F 0.134 0.210 0.790
F 0.634 0.290 0.710
F 0.366 0.710 0.290
F 0.444 0.978 0.296
F 0.556 0.022 0.704
F 0.283 0.296 0.978
F 0.056 0.204 0.522
F 0.717 0.704 0.022
F 0.944 0.796 0.478
F 0.217 0.522 0.204
F 0.783 0.478 0.796

Results
- M_tot (μB/cell) = 12.00
- electronic total energy (eV/atom) = -6.9210
- symmetry = Ibam (72)